As2S3N2F12 | GGA-PBEsol | optimized geometry

Calculated values
Its uncorrected formation energy is -28.87 eV per formula unit. The calculated density comes out at 3.0 Mg/m³. Its magnetization is 0.00 μB/f.u.

```
data_As2S3N2F12
_symmetry_space_group_name_H-M 'C 1 2 1'
_symmetry_Int_Tables_number 5
_symmetry_space_group_name_Hall 'C 2y'
_cell_length_a 12.373
_cell_length_b 8.343
_cell_length_c 10.735
_cell_angle_alpha 90.00
_cell_angle_beta 92.29
_cell_angle_gamma 90.00
loop_
_atom_site_label
_atom_site_type_symbol
_atom_site_fract_x
_atom_site_fract_y
_atom_site_fract_z
As1 As 0.000 0.000 0.000
As2 As 0.000 0.011 0.500
As3 As 0.135 0.482 0.249
S1 S 0.136 0.658 0.757
S2 S 0.209 0.379 0.650
S3 S 0.222 0.374 0.849
N1 N 0.162 0.550 0.639
N2 N 0.176 0.544 0.870
F1 F 0.017 0.367 0.240
F2 F 0.064 0.161 0.592
F3 F 0.066 0.864 0.591
F4 F 0.079 0.606 0.362
F5 F 0.079 0.997 0.141
F6 F 0.082 0.608 0.131
F7 F 0.084 0.148 0.940
F8 F 0.086 0.851 0.941
F9 F 0.110 0.012 0.399
F10 F 0.193 0.360 0.368
F11 F 0.196 0.361 0.138
F12 F 0.246 0.106 0.743
```